MgZn8Pd2: relaxed, GGA-PBE.

Lattice parameters (Å, degrees): 6.661 6.661 4.177 90.00 90.00 106.00
Positions (direct):
1 Mg 0.000 0.000 0.000
2 Zn 0.037 0.309 0.500
3 Zn 0.247 0.753 0.000
4 Zn 0.309 0.037 0.500
5 Zn 0.341 0.341 0.000
6 Zn 0.659 0.659 0.000
7 Zn 0.691 0.963 0.500
8 Zn 0.753 0.247 0.000
9 Zn 0.963 0.691 0.500
10 Pd 0.370 0.630 0.500
11 Pd 0.630 0.370 0.500

Calculated values
As for the symmetry: Cmmm. The calculation puts the total energy at -2.176 eV/atom.

***

MgZn2Pd: relaxed, GGA-PBE.

Lattice parameters (Å, degrees): 6.593 8.104 5.107 90.00 90.00 90.00
Positions (direct):
1 Mg 0.025 0.250 0.127
2 Mg 0.475 0.750 0.627
3 Mg 0.525 0.250 0.373
4 Mg 0.975 0.750 0.873
5 Zn 0.179 0.037 0.603
6 Zn 0.179 0.463 0.603
7 Zn 0.321 0.537 0.103
8 Zn 0.321 0.963 0.103
9 Zn 0.679 0.037 0.897
10 Zn 0.679 0.463 0.897
11 Zn 0.821 0.537 0.397
12 Zn 0.821 0.963 0.397
13 Pd 0.123 0.750 0.373
14 Pd 0.377 0.250 0.873
15 Pd 0.623 0.750 0.127
16 Pd 0.877 0.250 0.627

Calculated values
As for the symmetry: Pnma. The calculation puts the total energy at -2.718 eV/atom.

***

MgZn2Pd6: relaxed, GGA-PBE.

Lattice parameters (Å, degrees): 8.139 8.139 4.084 90.00 90.00 90.00
Positions (direct):
1 Mg 0.000 0.000 0.000
2 Mg 0.500 0.500 0.500
3 Zn 0.192 0.192 0.500
4 Zn 0.308 0.692 0.000
5 Zn 0.692 0.308 0.000
6 Zn 0.808 0.808 0.500
7 Pd 0.019 0.328 0.000
8 Pd 0.141 0.859 0.500
9 Pd 0.172 0.519 0.500
10 Pd 0.328 0.019 0.000
11 Pd 0.359 0.359 0.000
12 Pd 0.481 0.828 0.500
13 Pd 0.519 0.172 0.500
14 Pd 0.641 0.641 0.000
15 Pd 0.672 0.981 0.000
16 Pd 0.828 0.481 0.500
17 Pd 0.859 0.141 0.500
18 Pd 0.981 0.672 0.000

Calculated values
As for the symmetry: P4_2/mnm. The calculation puts the total energy at -4.391 eV/atom.